# 1
Entry from the Alexandria database: crystalline CuRu at its relaxed geometry (PBE-GGA).

The structure in POSCAR format:
```
CuRu
1.0
2.6047 0.0000 0.0000
-1.3024 5.0336 0.0000
0.0000 0.0000 4.1436
Cu Ru
2 2
Cartesian
0.0000 1.8431 1.0359
1.3024 3.1905 3.1077
0.0000 4.4075 1.0359
1.3024 0.6261 3.1077
```

Calculated values
Calculated formation energy (meV per atom): 347
Space-group type: Cmcm (63)

# 2
Entry from the Alexandria database: crystalline AcAg4Au2 at its relaxed geometry (PBE-GGA).

The structure in POSCAR format:
```
AcAg4Au2
1.0
-1.2678 -4.3729 -0.6800
1.4310 0.8306 -8.0087
7.7303 -2.4170 1.1306
Ac Au Ag
2 4 8
Cartesian
-0.6339 -2.1865 -0.3400
4.5807 -0.7932 -3.4391
6.4048 -1.7336 -0.7925
2.7565 0.1472 -6.0856
5.8745 -3.3135 -5.2264
2.0190 -2.6458 -2.3318
2.8987 -0.7796 -0.3907
6.2626 -0.8068 -6.4875
4.2027 -3.5155 -0.8109
3.6908 -2.4439 -6.7473
6.5618 -3.9240 -2.5820
1.3318 -2.0354 -4.9762
1.2766 0.0566 -2.7441
7.8847 -1.6430 -4.1341
```

Calculated values
Calculated formation energy (meV per atom): -301
Space-group type: P4_2/mnm (136)
E above lowest polymorph (meV per atom): 0

# 3
Entry from the Alexandria database: crystalline Nb2Pt7Rh2 at its relaxed geometry (PBE-GGA).

The structure in POSCAR format:
```
Nb2Pt7Rh2
1.0
5.5619 -0.0564 -0.2597
-1.2955 5.9034 -1.2705
-0.1512 -0.0564 5.5659
Nb Pt Rh
2 7 2
Cartesian
3.5926 2.9469 3.5232
0.5226 2.8438 0.5125
-0.5737 4.8391 1.9674
2.1593 0.9516 4.6477
4.6889 0.9516 2.0683
1.9559 4.8391 -0.6119
0.0000 0.0000 0.0000
1.9301 1.0497 1.8928
2.1851 4.7410 2.1429
3.5229 2.8953 0.5237
0.5922 2.8953 3.5121
```

Calculated values
Calculated formation energy (meV per atom): -262
Space-group type: C2/m (12)